1.
Here is a relaxed structure of SmAs12Ru4 from the Alexandria database. Energies are from GGA-PBE.

Lattice parameters (Å, degrees): 7.441 7.441 7.441 109.47 109.47 109.47
Fractional coordinates of all 17 atoms:
As (0.349, 0.199, 0.850)
As (0.199, 0.850, 0.349)
As (0.349, 0.499, 0.150)
As (0.150, 0.349, 0.499)
As (0.501, 0.850, 0.651)
As (0.801, 0.150, 0.651)
As (0.651, 0.801, 0.150)
As (0.850, 0.651, 0.501)
As (0.150, 0.651, 0.801)
As (0.499, 0.150, 0.349)
As (0.651, 0.501, 0.850)
As (0.850, 0.349, 0.199)
Ru (0.500, 0.000, 0.000)
Ru (0.500, 0.500, 0.500)
Ru (0.000, 0.000, 0.500)
Ru (0.000, 0.500, 0.000)
Sm (0.000, 0.000, 0.000)

Values from the calculation:
Energy   -6.1914 eV per atom
Total magnetic moment   0.00 μB per cell
Energy relative to the elements   -7.64 eV per formula unit

---

2.
Here is a relaxed structure of Ac6AlHg5 from the Alexandria database. Energies are from GGA-PBE.

Lattice parameters (Å, degrees): 5.697 8.070 9.876 114.11 106.58 90.00
Fractional coordinates of all 12 atoms:
Hg (0.333, 0.334, 0.667)
Hg (0.333, 0.833, 0.666)
Hg (0.667, 0.666, 0.333)
Hg (0.667, 0.167, 0.334)
Hg (0.000, 0.500, 0.000)
Ac (0.164, 0.917, 0.328)
Ac (0.836, 0.083, 0.672)
Ac (0.500, 0.244, 0.000)
Ac (0.836, 0.589, 0.672)
Ac (0.164, 0.411, 0.328)
Ac (0.500, 0.756, 0.000)
Al (0.000, 0.000, 0.000)

Values from the calculation:
Energy   -2.9183 eV per atom
Total magnetic moment   0.00 μB per cell
Energy relative to the elements   -5.12 eV per formula unit

---

3.
Here is a relaxed structure of Ti2NbS2 from the Alexandria database. Energies are from GGA-PBE.

Lattice parameters (Å, degrees): 3.441 6.335 7.162 90.00 103.90 90.00
Fractional coordinates of all 10 atoms:
Ti (0.970, 0.775, 0.939)
Ti (0.030, 0.275, 0.061)
Ti (0.827, 0.441, 0.654)
Ti (0.173, 0.941, 0.346)
Nb (0.630, 0.604, 0.261)
Nb (0.370, 0.104, 0.739)
S (0.549, 0.988, 0.099)
S (0.209, 0.326, 0.417)
S (0.791, 0.826, 0.583)
S (0.451, 0.488, 0.901)

Values from the calculation:
E_form (uncorrected)   -1.04 eV/atom
Energy   -7.8632 eV per atom
Total magnetic moment   0.00 μB per cell

---

4.
Here is a relaxed structure of Dy2MnB10 from the Alexandria database. Energies are from GGA-PBE.

Lattice parameters (Å, degrees): 4.144 5.609 11.174 90.00 90.00 90.00
Each line ends with the local moment (μB).
Fractional coordinates of all 26 atoms:
B (0.299, 0.708, 0.386)  -0.01
B (0.000, 0.462, 0.687)  -0.01
B (0.701, 0.708, 0.386)  -0.01
B (0.000, 0.872, 0.461)  -0.01
B (0.000, 0.538, 0.313)  -0.01
B (0.000, 0.628, 0.961)  -0.01
B (0.299, 0.208, 0.114)  -0.01
B (0.701, 0.208, 0.114)  -0.01
B (0.000, 0.350, 0.198)  0.00
B (0.701, 0.292, 0.614)  -0.01
B (0.000, 0.962, 0.813)  -0.01
B (0.000, 0.038, 0.187)  -0.01
B (0.000, 0.650, 0.802)  0.00
B (0.299, 0.792, 0.886)  -0.01
B (0.701, 0.792, 0.886)  -0.01
B (0.000, 0.150, 0.698)  0.00
B (0.000, 0.850, 0.302)  0.00
B (0.299, 0.292, 0.614)  -0.01
B (0.000, 0.372, 0.039)  -0.01
B (0.000, 0.128, 0.539)  -0.01
Dy (0.500, 0.212, 0.367)  0.00
Dy (0.500, 0.288, 0.867)  0.00
Dy (0.500, 0.712, 0.133)  0.00
Dy (0.500, 0.788, 0.633)  0.00
Mn (0.000, 0.500, 0.500)  1.02
Mn (0.000, 0.000, 0.000)  1.02

Values from the calculation:
Energy   -7.0074 eV per atom
Total magnetic moment   1.93 μB per cell
Energy relative to the elements   -5.95 eV per formula unit

---

5.
Here is a relaxed structure of Nd2YTlN from the Alexandria database. Energies are from GGA-PBE.

Lattice parameters (Å, degrees): 4.835 5.047 5.047 90.00 90.00 90.00
Fractional coordinates of all 5 atoms:
Nd (0.000, 0.500, 0.000)
Nd (0.000, 0.000, 0.500)
Y (0.500, 0.000, 0.000)
N (0.000, 0.000, 0.000)
Tl (0.500, 0.500, 0.500)

Values from the calculation:
E_form (uncorrected)   -0.85 eV/atom
Energy   -6.1923 eV per atom
Total magnetic moment   0.00 μB per cell

---

6.
Here is a relaxed structure of CsPmHgS3 from the Alexandria database. Energies are from GGA-PBE.

Lattice parameters (Å, degrees): 4.251 9.304 10.320 109.36 90.00 90.00
Fractional coordinates of all 12 atoms:
S (0.250, 0.788, 0.453)
S (0.750, 0.877, 0.130)
S (0.250, 0.528, 0.856)
S (0.750, 0.472, 0.144)
S (0.750, 0.212, 0.547)
S (0.250, 0.123, 0.870)
Pm (0.250, 0.668, 0.136)
Pm (0.750, 0.332, 0.864)
Cs (0.750, 0.782, 0.757)
Cs (0.250, 0.218, 0.243)
Hg (0.750, 0.906, 0.381)
Hg (0.250, 0.094, 0.619)

Values from the calculation:
E_form (uncorrected)   -1.24 eV/atom
Energy   -4.2901 eV per atom
Total magnetic moment   0.00 μB per cell

---

7.
Here is a relaxed structure of Ti3Ga2Au4 from the Alexandria database. Energies are from GGA-PBE.

Lattice parameters (Å, degrees): 3.086 7.267 11.646 141.26 90.00 102.26
Each line ends with the local moment (μB).
Fractional coordinates of all 9 atoms:
Ga (0.342, 0.684, 0.682)  0.00
Ga (0.658, 0.316, 0.318)  0.00
Au (0.021, 0.042, 0.357)  0.01
Au (0.979, 0.958, 0.643)  0.01
Au (0.669, 0.339, 0.010)  -0.01
Au (0.331, 0.661, 0.990)  -0.01
Ti (0.000, 0.000, 0.000)  -0.38
Ti (0.334, 0.668, 0.330)  0.44
Ti (0.666, 0.332, 0.670)  0.44

Values from the calculation:
Energy   -5.1022 eV per atom
Total magnetic moment   0.60 μB per cell
Energy relative to the elements   -3.07 eV per formula unit

---

8.
Here is a relaxed structure of NdDyPb from the Alexandria database. Energies are from GGA-PBE.

Lattice parameters (Å, degrees): 4.184 4.184 5.889 110.81 110.81 90.00
Each line ends with the local moment (μB).
Fractional coordinates of all 3 atoms:
Dy (0.627, 0.627, 0.254)  0.17
Nd (0.944, 0.944, 0.887)  0.11
Pb (0.280, 0.280, 0.559)  0.00

Values from the calculation:
Energy   -4.6519 eV per atom
Total magnetic moment   0.47 μB per cell
Energy relative to the elements   -0.88 eV per formula unit